CsSbO | PBE-GGA | relaxed

For the uncorrected formation energy, the calculation gives -0.8568 eV/atom. The calculated volume comes out at 29.4 Å³/atom. The total energy is -4.17 eV/atom. The calculation puts the density at 5.094 g/cm3.

The space group is Pnma (No. 62) and the conventional cell measures 8.5049, 3.5152 and 11.8050 Å, with angles of 90.00, 90.00 and 90.00 degrees. Symmetry generates all atoms from Cs at (0.0015, 0.2500, 0.1756), Sb at (0.1470, 0.7500, 0.4746) and O at (0.2222, 0.7500, 0.0372).

AcSmDy2Er4 | PBE-GGA | relaxed

Its formation energy is 0.454 eV/atom. The calculated volume comes out at 34.2 Å³/atom. The total energy is -4.08 eV/atom. The calculation puts the density at 8.322 g/cm3. Its density of states at the Fermi level is 74.08 states/eV per cell.

The space group is Imma (No. 74) and the conventional cell measures 6.8830, 11.8657 and 13.4023 Å, with angles of 90.00, 90.00 and 90.00 degrees. Symmetry generates all atoms from Ac at (0.0000, 0.0000, 0.0000), Sm at (0.2500, 0.2500, 0.2500), Dy at (0.0000, 0.0000, 0.5000), Dy at (0.2500, 0.2500, 0.7500), Er at (0.0000, 0.0027, 0.7408) and Er at (0.2373, 0.2500, 0.5026).

PmGa2Pt3 | PBE-GGA | relaxed

Its formation energy is -0.912 eV/atom. The calculated volume comes out at 18.4 Å³/atom. The total energy is -5.73 eV/atom. The calculation puts the density at 13.082 g/cm3. Its density of states at the Fermi level is 14.79 states/eV per cell.

The space group is C2/m (No. 12) and the conventional cell measures 16.7717, 4.0878 and 10.0797 Å, with angles of 90.00, 106.57 and 90.00 degrees. Symmetry generates all atoms from Pm at (0.0000, 0.0000, 0.0000), Pm at (0.1625, 0.0000, 0.7054), Ga at (0.0373, 0.5000, 0.7763), Ga at (0.1391, 0.5000, 0.4536), Ga at (0.1957, 0.0000, 0.1249), Pt at (0.0000, 0.5000, 0.5000), Pt at (0.0422, 0.0000, 0.3351), Pt at (0.1165, 0.5000, 0.1931), Pt at (0.1737, 0.5000, 0.9541) and Pt at (0.2187, 0.0000, 0.3896).

Dy6TmSc2 | PBE-GGA | relaxed

Its formation energy is 0.075 eV/atom. The calculated volume comes out at 29.6 Å³/atom. The total energy is -4.90 eV/atom. The calculation puts the density at 7.693 g/cm3. Its density of states at the Fermi level is 64.22 states/eV per cell.

The space group is C2/c (No. 15) and the conventional cell measures 21.1817, 9.4568 and 5.5076 Å, with angles of 90.00, 105.06 and 90.00 degrees. Symmetry generates all atoms from Dy at (0.0859, 0.0833, 0.3203), Dy at (0.0858, 0.4171, 0.3530), Dy at (0.1696, 0.2499, 0.9198), Tm at (0.0000, 0.2499, 0.7500) and Sc at (0.2501, 0.0831, 0.5124).

ScCd2As2 | PBE-GGA | relaxed

Its formation energy is -0.247 eV/atom. The calculated volume comes out at 23.5 Å³/atom. The total energy is -3.74 eV/atom. The calculation puts the density at 5.935 g/cm3. Its density of states at the Fermi level is 3.94 states/eV per cell.

The space group is I4/mmm (No. 139) and the conventional cell measures 3.8323, 3.8323 and 15.9896 Å, with angles of 90.00, 90.00 and 90.00 degrees. Symmetry generates all atoms from Sc at (0.0000, 0.0000, 0.0000), Cd at (0.0000, 0.5000, 0.2500) and As at (0.0000, 0.0000, 0.4222).

Tm2CoS | PBE-GGA | relaxed

For the uncorrected formation energy, the calculation gives -1.1095 eV/atom. The calculated volume comes out at 19.8 Å³/atom. The total energy is -6.15 eV/atom. The calculation puts the density at 9.005 g/cm3. Its density of states at the Fermi level is 8.94 states/eV per cell.

The space group is Cmcm (No. 63) and the conventional cell measures 3.8316, 21.6122 and 3.8201 Å, with angles of 90.00, 90.00 and 90.00 degrees. Symmetry generates all atoms from Tm at (0.0000, 0.0665, 0.2500), Tm at (0.0000, 0.3207, 0.2500), Co at (0.0000, 0.4678, 0.2500) and S at (0.0000, 0.1936, 0.2500).

Hf3AlSi | PBE-GGA | relaxed

For the uncorrected formation energy, the calculation gives 0.1822 eV/atom. The calculated volume comes out at 22.8 Å³/atom. The total energy is -7.62 eV/atom. The calculation puts the density at 8.610 g/cm3. Its density of states at the Fermi level is 4.15 states/eV per cell.

The space group is Pm-3m (No. 221) and the conventional cell measures 4.8473, 4.8473 and 4.8473 Å, with angles of 90.00, 90.00 and 90.00 degrees. Symmetry generates all atoms from Hf at (0.0000, 0.0000, 0.5000), Al at (0.5000, 0.5000, 0.5000) and Si at (0.0000, 0.0000, 0.0000).

Ca3VSe | PBE-GGA | relaxed

For the uncorrected formation energy, the calculation gives -0.1367 eV/atom. The calculated volume comes out at 34.4 Å³/atom. The total energy is -3.86 eV/atom. The calculation puts the density at 2.417 g/cm3. Its density of states at the Fermi level is 4.93 states/eV per cell.

The space group is Pm-3m (No. 221) and the conventional cell measures 5.5594, 5.5594 and 5.5594 Å, with angles of 90.00, 90.00 and 90.00 degrees. Symmetry generates all atoms from Ca at (0.0000, 0.0000, 0.5000), V at (0.5000, 0.5000, 0.5000) and Se at (0.0000, 0.0000, 0.0000).